# 1
ZrSc2Nb3N6: relaxed, PBE.

The uncorrected formation energy is -1.448 eV/atom. For the total magnetic moment, the calculation gives 0.00 μB per atom. Its mass density is 6.7 Mg/m³. As for the density of states at the Fermi level: 3.35 states/eV/cell.

```
ZrSc2Nb3N6
1.0
5.4780 0.0005 0.0004
-2.7372 4.7451 0.0004
-0.9138 -1.5823 5.2093
Nb N Sc Zr
3 6 2 1
Cartesian
3.5995 0.0304 2.6050
0.9135 1.5817 2.6050
-1.7726 3.1330 2.6050
1.8193 3.1501 1.3211
2.7488 1.5663 3.9262
1.8440 -0.0003 1.2838
-0.0171 3.1637 3.9262
0.0076 0.0132 3.8889
-0.9218 1.5970 1.2838
2.7357 1.5843 0.0004
0.0051 3.1613 0.0004
0.0000 0.0000 0.0000
```

=====

# 2
ZrSc2NbN4: relaxed, PBE.

The uncorrected formation energy is -1.664 eV/atom. For the total magnetic moment, the calculation gives 0.00 μB per atom. Its mass density is 6.0 Mg/m³. As for the density of states at the Fermi level: 1.87 states/eV/cell.

```
ZrSc2NbN4
1.0
3.1760 0.0000 0.0000
0.0000 5.5075 0.0953
0.0000 -1.9269 5.2227
N Zr Sc Nb
4 1 2 1
Cartesian
1.5880 0.8774 1.3337
0.0000 3.6581 1.3912
0.0000 -0.0776 3.9267
1.5880 2.7032 3.9843
1.5880 2.7537 0.0476
0.0000 1.7903 2.6590
1.5880 -0.9635 2.6113
0.0000 0.0000 0.0000
```

=====

# 3
NbSe2N2: relaxed, PBE.

The uncorrected formation energy is 1.664 eV/atom. For the total magnetic moment, the calculation gives 0.00 μB per atom. Its mass density is 6.7 Mg/m³. As for the density of states at the Fermi level: 4.50 states/eV/cell.

```
NbSe2N2
1.0
3.6659 0.0000 0.0000
0.0000 3.6659 0.0000
1.8330 1.8330 5.1162
Se N Nb
2 2 1
Cartesian
1.8330 1.8330 1.4711
3.6659 3.6659 3.6451
3.6659 1.8330 2.5581
1.8330 3.6659 2.5581
0.0000 0.0000 0.0000
```

=====

# 4
NbSe2N2: relaxed, PBE.

The uncorrected formation energy is 1.133 eV/atom. For the total magnetic moment, the calculation gives 0.24 μB per atom. Its mass density is 4.4 Mg/m³. As for the density of states at the Fermi level: 4.03 states/eV/cell.

```
NbSe2N2
1.0
5.1484 0.0000 0.0000
0.0000 5.1484 0.0000
0.0000 0.0000 3.9826
Se N Nb
2 2 1
Cartesian
0.0000 2.5742 0.0000
2.5742 0.0000 0.0000
0.0000 0.0000 1.9913
2.5742 2.5742 1.9913
0.0000 0.0000 0.0000
```

=====

# 5
NbSe2N2: relaxed, PBE.

The uncorrected formation energy is 0.490 eV/atom. For the total magnetic moment, the calculation gives 0.19 μB per atom. Its mass density is 5.1 Mg/m³. As for the density of states at the Fermi level: 4.07 states/eV/cell.

```
NbSe2N2
1.0
3.9792 0.0000 0.0000
0.0000 3.9792 0.0000
0.0000 0.0000 5.7755
Se N Nb
2 2 1
Cartesian
0.0000 0.0000 2.8877
1.9896 1.9896 2.8877
0.0000 1.9896 0.0000
1.9896 0.0000 0.0000
0.0000 0.0000 0.0000
```

=====

# 6
NbSe2N2: relaxed, PBE.

The uncorrected formation energy is 1.071 eV/atom. For the total magnetic moment, the calculation gives 0.21 μB per atom. Its mass density is 5.7 Mg/m³. As for the density of states at the Fermi level: 7.50 states/eV/cell.

```
NbSe2N2
1.0
-0.4836 -6.4600 2.7451
4.4221 1.8565 5.1478
-2.5242 0.9628 1.8211
Nb Se N
2 4 4
Cartesian
1.9693 -2.3018 3.9465
0.0000 0.0000 0.0000
3.5518 -0.6389 5.2609
2.5103 -4.2047 5.7024
0.3867 -3.9646 2.6321
1.4282 -0.3988 2.1905
1.8585 0.3466 5.3071
1.7854 -2.8125 6.8761
-0.4441 -3.9873 4.4070
-0.3711 -0.8282 2.8379
```

=====

# 7
NbSe2N: relaxed, PBE.

The uncorrected formation energy is 0.441 eV/atom. For the total magnetic moment, the calculation gives 0.00 μB per atom. Its mass density is 5.9 Mg/m³. As for the density of states at the Fermi level: 2.40 states/eV/cell.

```
NbSe2N
1.0
-1.2552 4.9321 5.0164
-2.9601 2.0469 6.1736
0.5275 2.3823 6.7165
Se Nb N
2 1 1
Cartesian
-3.3689 8.5518 16.3581
-0.3189 0.8095 1.5484
-1.8439 4.6806 8.9533
0.0000 0.0000 0.0000
```

=====

# 8
NbSe2N: relaxed, PBE.

The uncorrected formation energy is 0.773 eV/atom. For the total magnetic moment, the calculation gives 0.00 μB per atom. Its mass density is 5.5 Mg/m³. As for the density of states at the Fermi level: 4.20 states/eV/cell.

```
NbSe2N
1.0
5.4715 0.0000 0.0000
0.0000 5.4715 0.0000
2.7357 2.7357 5.3043
N Se Nb
2 4 2
Cartesian
2.7357 5.4715 2.6522
2.7357 2.7357 0.0000
1.6266 4.1036 1.3261
3.8449 1.3679 1.3261
4.1036 4.3623 3.9782
6.8394 6.5807 3.9782
0.0000 0.0000 0.0000
5.4715 2.7357 2.6522
```

=====

- Which formula does entry 7 have?
  NbSe2N

=====

Copy entry 3 word for word.
NbSe2N2: relaxed, PBE.

The uncorrected formation energy is 1.664 eV/atom. For the total magnetic moment, the calculation gives 0.00 μB per atom. Its mass density is 6.7 Mg/m³. As for the density of states at the Fermi level: 4.50 states/eV/cell.

```
NbSe2N2
1.0
3.6659 0.0000 0.0000
0.0000 3.6659 0.0000
1.8330 1.8330 5.1162
Se N Nb
2 2 1
Cartesian
1.8330 1.8330 1.4711
3.6659 3.6659 3.6451
3.6659 1.8330 2.5581
1.8330 3.6659 2.5581
0.0000 0.0000 0.0000
```

=====

- What is the mass density in the fifth record?
  5.1 Mg/m³

=====

- What is the mass density in the first record?
  6.7 Mg/m³